# RhSN2Cl | Alexandria via LeMat-Bulk | PBE | relaxed
# M_tot, μB per atom: 0.0000
# D(E_F), states/eV per cell: 5.3
# ΔE to the lowest computed polymorph, meV/atom: 1004
# ΔE_f (raw), eV/atom: 2.20
data_RhSN2Cl
_chemical_formula_sum 'Rh1 S1 N2 Cl1'
_space_group_name_H-M_alt 'P 4/m m m'
_space_group_IT_number 123
_space_group_name_Hall '-P 4 2'
_cell_length_a 3.458
_cell_length_b 3.458
_cell_length_c 7.332
_cell_angle_alpha 90.00
_cell_angle_beta 90.00
_cell_angle_gamma 90.00
loop_
_atom_site_label
_atom_site_fract_x
_atom_site_fract_y
_atom_site_fract_z
_atom_site_occupancy
Rh1 0.000 0.000 0.000 1
S1 0.500 0.500 0.000 1
N1 0.000 0.500 0.500 1
Cl1 0.500 0.500 0.500 1

# BaTl12Pd4 | Alexandria via LeMat-Bulk | PBE | relaxed
# E_form, eV per atom: -0.098
# M_tot, μB per atom: 0.0000
# D(E_F), states/eV per cell: 19.5
data_BaTl12Pd4
_chemical_formula_sum 'Ba2 Tl24 Pd8'
_space_group_name_H-M_alt 'I m -3'
_space_group_IT_number 204
_space_group_name_Hall '-I 2 2 3'
_cell_length_a 9.991
_cell_length_b 9.991
_cell_length_c 9.991
_cell_angle_alpha 90.00
_cell_angle_beta 90.00
_cell_angle_gamma 90.00
loop_
_atom_site_label
_atom_site_fract_x
_atom_site_fract_y
_atom_site_fract_z
_atom_site_occupancy
Ba1 0.000 0.000 0.000 1
Tl1 0.000 0.339 0.165 1
Pd1 0.250 0.250 0.250 1

# Sc2Tl2Fe | Alexandria via LeMat-Bulk | PBE | relaxed
# E_form, eV per atom: 0.208
# M_tot, μB per atom: 0.0322
# D(E_F), states/eV per cell: 13.7
data_Sc2Tl2Fe
_chemical_formula_sum 'Sc4 Tl4 Fe2'
_space_group_name_H-M_alt 'P 4/m b m'
_space_group_IT_number 127
_space_group_name_Hall '-P 4 2ab'
_cell_length_a 7.166
_cell_length_b 7.166
_cell_length_c 4.181
_cell_angle_alpha 90.00
_cell_angle_beta 90.00
_cell_angle_gamma 90.00
loop_
_atom_site_label
_atom_site_fract_x
_atom_site_fract_y
_atom_site_fract_z
_atom_site_occupancy
Sc1 0.167 0.333 0.000 1
Tl1 0.146 0.646 0.500 1
Fe1 0.000 0.000 0.500 1

# Ac2PrHoP4 | Alexandria via LeMat-Bulk | PBE | relaxed
# E_form, eV per atom: -1.474
# M_tot, μB per atom: 0.0000
# D(E_F), states/eV per cell: 0.7
data_Ac2PrHoP4
_chemical_formula_sum 'Ac2 Pr1 Ho1 P4'
_space_group_name_H-M_alt 'P 1 2/m 1'
_space_group_IT_number 10
_cell_length_a 7.396
_cell_length_b 4.274
_cell_length_c 7.413
_cell_angle_alpha 90.00
_cell_angle_beta 109.40
_cell_angle_gamma 90.00
loop_
_space_group_symop_operation_xyz
'x,y,z'
'-x,-y,-z'
'-x,y,-z'
'x,-y,z'
loop_
_atom_site_label
_atom_site_fract_x
_atom_site_fract_y
_atom_site_fract_z
_atom_site_occupancy
Ac1 0.000 0.000 0.000 1
Ac2 0.500 0.500 0.000 1
Pr1 0.000 0.500 0.500 1
Ho1 0.500 0.000 0.500 1
P1 0.250 0.000 0.734 1
P2 0.262 0.500 0.270 1

The highest M_tot belongs to which entry?
Sc2Tl2Fe